Material: Th6TcPt2Se3
Method: DFT, PBE
State: relaxed

```
12
Lattice="4.147 0.000 0.000 0.000 8.770 -0.004 -2.074 -2.856 9.030" Properties=species:S:1:pos:R:3 pbc="T T T"
Th 0.000 5.984 6.227
Th 2.074 4.038 3.069
Th 2.074 -0.070 2.799
Th 0.000 1.958 0.071
Th 2.074 3.955 8.956
Th 0.000 1.875 5.958
Tc 2.074 0.000 0.000
Pt 2.074 3.917 5.991
Pt 0.000 1.996 3.036
Se 2.074 4.385 -0.002
Se 2.074 -0.427 5.988
Se 0.000 6.340 3.038
```

Results
- Symmetry: C2/m, No. 12
- Total magnetization: 0.000 μB/atom
- Uncorrected formation energy: -1.191 eV/atom
- N(E_F): 9.87 states/eV per cell

=====

Material: NaAcAuSe2
Method: DFT, PBE
State: relaxed

```
10
Lattice="5.181 0.000 0.000 0.000 6.986 0.906 0.000 -1.093 8.357" Properties=species:S:1:pos:R:3 pbc="T T T"
Na 0.003 2.673 6.721
Na 5.178 3.220 2.542
Ac 2.589 -0.273 2.089
Ac 2.592 -0.820 6.268
Au 0.000 0.000 0.000
Au 0.000 -0.546 4.178
Se 3.565 3.849 8.997
Se 3.565 1.497 4.445
Se 1.616 4.396 4.818
Se 1.616 2.044 0.267
```

Results
- Symmetry: P2/c, No. 13
- Total magnetization: 0.000 μB/atom
- Uncorrected formation energy: -1.028 eV/atom
- N(E_F): 4.00 states/eV per cell

=====

Material: Fe2SbPb
Method: DFT, PBE
State: relaxed

```
4
Lattice="3.320 0.000 0.000 0.000 3.415 0.011 0.000 1.773 6.819" Properties=species:S:1:pos:R:3 pbc="T T T"
Fe 0.000 2.154 6.371
Fe 0.000 2.213 3.864
Pb 1.660 1.297 1.708
Sb 1.660 3.890 5.123
```

Results
- Symmetry: P2/m, No. 10
- Total magnetization: 1.067 μB/atom
- Uncorrected formation energy: 0.434 eV/atom
- N(E_F): 3.73 states/eV per cell

=====

Material: CoCuRu2Se
Method: DFT, PBE
State: relaxed

```
5
Lattice="-1.582 -2.907 2.913 4.079 -1.060 1.158 -0.064 3.138 3.096" Properties=species:S:1:pos:R:3 pbc="T T T"
Ru -0.032 1.569 1.548
Ru -0.791 -1.453 1.456
Co 0.000 0.000 0.000
Cu 2.040 -0.530 0.579
Se 1.217 -0.414 3.584
```

Results
- Symmetry: P4/mmm, No. 123
- Total magnetization: 0.000 μB/atom
- Uncorrected formation energy: 1.210 eV/atom
- N(E_F): 7.48 states/eV per cell

=====

Material: In2ReW
Method: DFT, PBE
State: relaxed

```
4
Lattice="5.236 0.000 0.011 4.252 3.056 0.011 1.354 0.436 4.792" Properties=species:S:1:pos:R:3 pbc="T T T"
In 9.386 3.023 0.140
In 8.240 2.654 3.492
Re 5.680 1.830 2.338
W 2.443 0.787 1.275
```

Results
- Symmetry: Cm, No. 8
- Total magnetization: 0.000 μB/atom
- N(E_F): 1.81 states/eV per cell
- E_form: 54.32 kJ per mole of atoms

=====

Material: Pr6Nd3Tm2In
Method: DFT, PBE
State: relaxed

```
12
Lattice="-4.362 -2.667 3.718 3.079 -3.466 -4.298 8.713 -0.355 8.123" Properties=species:S:1:pos:R:3 pbc="T T T"
Pr 4.425 -4.788 7.034
Pr 1.159 -4.708 1.545
Pr 3.005 -1.700 0.509
Pr 6.855 -5.049 4.417
Pr 6.271 -1.781 5.999
Pr 0.575 -1.440 3.126
Nd 6.173 -3.508 1.124
Nd 1.257 -2.980 6.420
Nd 3.715 -3.244 3.772
Tm 0.591 -3.199 -1.617
Tm -1.874 -2.934 1.038
In 0.000 0.000 0.000
```

Results
- Symmetry: C2/m, No. 12
- Total magnetization: 0.000 μB/atom
- N(E_F): 15.72 states/eV per cell
- E_form: -2.28 kJ per mole of atoms